DFT (GGA-PBE) results for a relaxed structure of Tm4SnBiTe2.

The raw formation energy comes out at -775 kJ/mol of formula units. The total energy comes out at -5.011 eV/atom. The calculation puts the calculated density at 8.90 g cm⁻³. The calculation puts the magnetic moment at 0.00 μB/f.u.

The space group is P2/m (No. 10) and the conventional cell measures 7.534, 4.366 and 7.573 Å, with angles of 90.00, 109.47 and 90.00 degrees. Symmetry generates all atoms from Tm at (0.237, 0.000, 0.239), Tm at (0.241, 0.500, 0.755), Sn at (0.000, 0.500, 0.000), Bi at (0.000, 0.000, 0.500), Te at (0.500, 0.000, 0.000) and Te at (0.500, 0.500, 0.500).